(1)
Computed, not measured: a geometry-optimized Na5ICl4 structure at the PBE level of DFT.

Calculated values
* relative energy among the computed polymorphs: 0.000 eV/atom
* ΔE_f (raw): -38.451 kcal/mol of atoms
* volume: 25.5 A^3/atom

abc: 7.199 7.199 7.199
angles: 99.77 99.77 131.34
Sites, in units of the cell vectors:
Na (0.000, 0.000, 0.000)
Na (0.180, 0.610, 0.792)
Na (0.388, 0.180, 0.570)
Na (0.610, 0.818, 0.430)
Na (0.818, 0.388, 0.208)
I (0.500, 0.500, 0.000)
Cl (0.104, 0.304, 0.408)
Cl (0.304, 0.895, 0.200)
Cl (0.695, 0.104, 0.800)
Cl (0.895, 0.695, 0.592)

***

(2)
Computed, not measured: a geometry-optimized TaCdAu2 structure at the PBE level of DFT.

Calculated values
* volume: 18.7 A^3/atom
* formation energy: 0.08 eV per atom

abc: 9.835 9.835 9.835
angles: 17.48 17.48 17.48
Sites, in units of the cell vectors:
Ta (0.000, 0.000, 0.000)
Cd (0.755, 0.755, 0.755)
Au (0.255, 0.255, 0.255)
Au (0.505, 0.505, 0.505)

***

(3)
Computed, not measured: a geometry-optimized Li4PrHg4 structure at the PBE level of DFT.

Calculated values
* volume: 21.8 A^3/atom
* formation energy: -0.26 eV per atom

abc: 6.576 6.576 9.083
angles: 90.00 90.00 90.00
Sites, in units of the cell vectors:
Li (0.025, 0.250, 0.146)
Li (0.250, 0.025, 0.646)
Li (0.250, 0.475, 0.646)
Li (0.475, 0.250, 0.146)
Li (0.525, 0.750, 0.854)
Li (0.750, 0.525, 0.354)
Li (0.750, 0.975, 0.354)
Li (0.975, 0.750, 0.854)
Pr (0.250, 0.750, 0.250)
Pr (0.750, 0.250, 0.750)
Hg (0.026, 0.250, 0.443)
Hg (0.250, 0.026, 0.943)
Hg (0.250, 0.474, 0.943)
Hg (0.474, 0.250, 0.443)
Hg (0.526, 0.750, 0.557)
Hg (0.750, 0.526, 0.057)
Hg (0.750, 0.974, 0.057)
Hg (0.974, 0.750, 0.557)

***

(4)
Computed, not measured: a geometry-optimized Sr2Ge3Pt5 structure at the PBE level of DFT.

Calculated values
* relative energy among the computed polymorphs: 0.000 eV/atom
* volume: 20.4 A^3/atom
* formation energy: -0.78 eV per atom

abc: 8.682 8.682 8.682
angles: 111.44 85.22 135.87
Sites, in units of the cell vectors:
Sr (0.133, 0.242, 0.375)
Sr (0.367, 0.742, 0.109)
Sr (0.633, 0.258, 0.891)
Sr (0.867, 0.758, 0.625)
Ge (0.117, 0.633, 0.749)
Ge (0.250, 0.250, 0.000)
Ge (0.383, 0.133, 0.516)
Ge (0.617, 0.867, 0.484)
Ge (0.750, 0.750, 0.000)
Ge (0.883, 0.367, 0.251)
Pt (0.026, 0.750, 0.276)
Pt (0.119, 0.886, 0.005)
Pt (0.250, 0.750, 0.500)
Pt (0.381, 0.386, 0.767)
Pt (0.474, 0.750, 0.724)
Pt (0.526, 0.250, 0.276)
Pt (0.619, 0.614, 0.233)
Pt (0.750, 0.250, 0.500)
Pt (0.881, 0.114, 0.995)
Pt (0.974, 0.250, 0.724)

***

(5)
Computed, not measured: a geometry-optimized PuTcF structure at the PBE level of DFT.

Calculated values
* ΔE_f (raw): -30.300 kcal/mol of atoms
* volume: 16.4 A^3/atom

abc: 3.177 3.177 9.719
angles: 90.00 90.00 90.00
Sites, in units of the cell vectors:
Pu (0.250, 0.250, 0.209)
Pu (0.750, 0.750, 0.791)
Tc (0.250, 0.250, 0.566)
Tc (0.750, 0.750, 0.434)
F (0.250, 0.250, 0.923)
F (0.750, 0.750, 0.077)

***

(6)
Computed, not measured: a geometry-optimized GdYHg2 structure at the PBE level of DFT.

Calculated values
* relative energy among the computed polymorphs: 0.000 eV/atom
* volume: 26.1 A^3/atom
* formation energy: -0.51 eV per atom

abc: 3.728 3.728 7.524
angles: 90.00 90.00 90.00
Sites, in units of the cell vectors:
Gd (0.000, 0.000, 0.000)
Y (0.000, 0.000, 0.500)
Hg (0.500, 0.500, 0.256)
Hg (0.500, 0.500, 0.744)

***

(7)
Computed, not measured: a geometry-optimized NdErCuTc structure at the PBE level of DFT.

Calculated values
* volume: 21.2 A^3/atom
* formation energy: -0.02 eV per atom

abc: 4.929 4.929 4.929
angles: 60.00 60.00 60.00
Sites, in units of the cell vectors:
Nd (0.000, 0.000, 0.000)
Er (0.500, 0.500, 0.500)
Cu (0.250, 0.250, 0.250)
Tc (0.750, 0.750, 0.750)

***

(8)
Computed, not measured: a geometry-optimized LaCdHg2Rh structure at the PBE level of DFT.

Calculated values
* volume: 29.6 A^3/atom
* formation energy: -0.25 eV per atom

abc: 5.354 5.354 5.163
angles: 90.00 90.00 90.00
Sites, in units of the cell vectors:
La (0.000, 0.000, 0.000)
Cd (0.500, 0.500, 0.000)
Hg (0.000, 0.500, 0.500)
Hg (0.500, 0.000, 0.500)
Rh (0.000, 0.000, 0.500)

***

(9)
Computed, not measured: a geometry-optimized InTc3Ir structure at the PBE level of DFT.

Calculated values
* relative energy among the computed polymorphs: 0.000 eV/atom
* volume: 21.2 A^3/atom
* formation energy: 1.53 eV per atom

abc: 4.733 4.733 4.733
angles: 90.00 90.00 90.00
Sites, in units of the cell vectors:
In (0.000, 0.000, 0.000)
Tc (0.000, 0.500, 0.500)
Tc (0.500, 0.000, 0.500)
Tc (0.500, 0.500, 0.000)
Ir (0.500, 0.500, 0.500)

***

(10)
Computed, not measured: a geometry-optimized Ti7Pd2W structure at the PBE level of DFT.

Calculated values
* volume: 19.9 A^3/atom
* formation energy: 0.85 eV per atom

abc: 6.549 6.549 6.549
angles: 60.00 60.00 60.00
Sites, in units of the cell vectors:
Ti (0.000, 0.000, 0.000)
Ti (0.245, 0.245, 0.755)
Ti (0.245, 0.755, 0.245)
Ti (0.245, 0.755, 0.755)
Ti (0.755, 0.245, 0.245)
Ti (0.755, 0.245, 0.755)
Ti (0.755, 0.755, 0.245)
Pd (0.250, 0.250, 0.250)
Pd (0.750, 0.750, 0.750)
W (0.500, 0.500, 0.500)

***

(11)
Computed, not measured: a geometry-optimized RbThSe2 structure at the PBE level of DFT.

Calculated values
* ΔE_f (raw): -33.326 kcal/mol of atoms
* volume: 31.2 A^3/atom

abc: 9.724 9.724 7.495
angles: 104.69 104.69 123.47
Sites, in units of the cell vectors:
Rb (0.052, 0.948, 0.750)
Rb (0.174, 0.826, 0.250)
Rb (0.826, 0.174, 0.750)
Rb (0.948, 0.052, 0.250)
Th (0.305, 0.695, 0.750)
Th (0.425, 0.575, 0.250)
Th (0.575, 0.425, 0.750)
Th (0.695, 0.305, 0.250)
Se (0.074, 0.451, 0.275)
Se (0.248, 0.369, 0.780)
Se (0.369, 0.248, 0.280)
Se (0.451, 0.074, 0.775)
Se (0.549, 0.926, 0.225)
Se (0.631, 0.752, 0.720)
Se (0.752, 0.631, 0.220)
Se (0.926, 0.549, 0.725)

***

(12)
Computed, not measured: a geometry-optimized PmGaRu2 structure at the PBE level of DFT.

Calculated values
* volume: 17.3 A^3/atom
* formation energy: -0.11 eV per atom

abc: 4.608 4.608 4.608
angles: 60.00 60.00 60.00
Sites, in units of the cell vectors:
Pm (0.000, 0.000, 0.000)
Ga (0.500, 0.500, 0.500)
Ru (0.250, 0.250, 0.250)
Ru (0.750, 0.750, 0.750)